Compound: Ba2AlSe
Source: the Alexandria database
Functional: PBE-GGA
Structure: relaxed

Geometry as POSCAR:
```
Ba2AlSe
1.0
4.026 0.000 0.000
0.000 4.026 0.000
0.000 0.000 8.580
Ba Al Se
2 1 1
direct
0.000 0.000 0.478 Ba
0.000 0.000 0.022 Ba
0.500 0.500 0.750 Al
0.500 0.500 0.250 Se
```

Summary:
V	139.09	Å³ per cell
total magnetization	0.76	μB per formula unit
total DFT energy (no corrections)	-3.60	eV per atom
distance to the lowest polymorph of the same formula	0.0023	eV/atom
ΔE_f (raw)	-832	meV per atom
D(E_F)	2.8	states/eV/cell